[1]
# ZnCuIr2Au | Alexandria | SCAN | single point on PBEsol structure
data_ZnCuIr2Au
_cell_length_a 4.492
_cell_length_b 4.492
_cell_length_c 4.545
_cell_angle_alpha 90.00
_cell_angle_beta 90.00
_cell_angle_gamma 90.00
_symmetry_space_group_name_H-M 'P 4/m m m'
_symmetry_Int_Tables_number 123
_symmetry_space_group_name_Hall '-P 4 2'
loop_
_atom_site_label
_atom_site_type_symbol
_atom_site_fract_x
_atom_site_fract_y
_atom_site_fract_z
Zn1 Zn 0.000 0.000 0.000
Cu1 Cu 0.500 0.500 0.500
Ir1 Ir 0.000 0.500 0.000
Au1 Au 0.000 0.000 0.500
# Energy of formation from the pure elements = 1.58 eV/atom
# Density of states at the Fermi level = 4.8 states/eV/cell
# Theoretical density = 12.861 g/cm³
# Uncorrected energy = -46.44 eV/atom

---

[2]
# K2LaPb | Alexandria | SCAN | single point on PBEsol structure
data_K2LaPb
_cell_length_a 4.078
_cell_length_b 6.799
_cell_length_c 5.590
_cell_angle_alpha 90.00
_cell_angle_beta 92.51
_cell_angle_gamma 90.00
_symmetry_space_group_name_H-M 'P 1 2/m 1'
_symmetry_Int_Tables_number 10
loop_
_symmetry_equiv_pos_as_xyz
'x,y,z'
'-x,-y,-z'
'-x,y,-z'
'x,-y,z'
loop_
_atom_site_label
_atom_site_type_symbol
_atom_site_fract_x
_atom_site_fract_y
_atom_site_fract_z
K1 K 0.226 0.000 0.272
La1 La 0.500 0.500 0.000
Pb1 Pb 0.000 0.500 0.500
# Energy of formation from the pure elements = -0.07 eV/atom
# Density of states at the Fermi level = 3.2 states/eV/cell
# Theoretical density = 4.551 g/cm³
# Uncorrected energy = -33.95 eV/atom

---

[3]
# LaSbPb | Alexandria | SCAN | single point on PBEsol structure
data_LaSbPb
_cell_length_a 5.1366
_cell_length_b 5.1366
_cell_length_c 4.0094
_cell_angle_alpha 90.00
_cell_angle_beta 90.00
_cell_angle_gamma 120.00
_symmetry_space_group_name_H-M 'P -6 m 2'
_symmetry_Int_Tables_number 187
_symmetry_space_group_name_Hall 'P -6 2'
loop_
_atom_site_label
_atom_site_type_symbol
_atom_site_fract_x
_atom_site_fract_y
_atom_site_fract_z
La1 La 0.0000 0.0000 0.0000
Sb1 Sb 0.6667 0.3333 0.5000
Pb1 Pb 0.3333 0.6667 0.5000
# Energy above the lowest structure with this stoichiometry = 0 meV/atom
# Density of states at the Fermi level = 1.5 states/eV/cell
# Raw formation energy = -0.65 eV per atom
# Theoretical density = 8.480 g/cm³
# Uncorrected energy = -52.70 eV/atom

---

[4]
# SrNbBi3 | Alexandria | SCAN | single point on PBEsol structure
data_SrNbBi3
_cell_length_a 5.517
_cell_length_b 5.517
_cell_length_c 5.517
_cell_angle_alpha 90.00
_cell_angle_beta 90.00
_cell_angle_gamma 90.00
_symmetry_space_group_name_H-M 'P m -3 m'
_symmetry_Int_Tables_number 221
_symmetry_space_group_name_Hall '-P 4 2 3'
loop_
_atom_site_label
_atom_site_type_symbol
_atom_site_fract_x
_atom_site_fract_y
_atom_site_fract_z
Sr1 Sr 0.000 0.000 0.000
Nb1 Nb 0.500 0.500 0.500
Bi1 Bi 0.000 0.500 0.500
# Energy of formation from the pure elements = -0.08 eV/atom
# Density of states at the Fermi level = 3.3 states/eV/cell
# Theoretical density = 7.983 g/cm³
# Uncorrected energy = -58.31 eV/atom

---

[5]
# YAs2Ir | Alexandria | SCAN | single point on PBEsol structure
data_YAs2Ir
_cell_length_a 3.9827
_cell_length_b 3.9827
_cell_length_c 16.3113
_cell_angle_alpha 90.00
_cell_angle_beta 90.00
_cell_angle_gamma 120.00
_symmetry_space_group_name_H-M 'R -3 m'
_symmetry_Int_Tables_number 166
_symmetry_space_group_name_Hall '-R 3 2"'
loop_
_atom_site_label
_atom_site_type_symbol
_atom_site_fract_x
_atom_site_fract_y
_atom_site_fract_z
Y1 Y 0.0000 0.0000 0.0000
As1 As 0.0000 0.0000 0.2318
Ir1 Ir 0.0000 0.0000 0.5000
# Energy of formation from the pure elements = -0.96 eV/atom
# Energy above the lowest structure with this stoichiometry = 0 meV/atom
# Density of states at the Fermi level = 0.9 states/eV/cell
# Theoretical density = 9.582 g/cm³
# Uncorrected energy = -35.79 eV/atom

---

[6]
# SbH12C2N6F5 | Alexandria | SCAN | single point on PBEsol structure
data_SbH12C2N6F5
_cell_length_a 15.647
_cell_length_b 8.402
_cell_length_c 9.663
_cell_angle_alpha 90.00
_cell_angle_beta 121.53
_cell_angle_gamma 90.00
_symmetry_space_group_name_H-M 'C 1 2/m 1'
_symmetry_Int_Tables_number 12
loop_
_symmetry_equiv_pos_as_xyz
'x,y,z'
'-x,-y,-z'
'-x,y,-z'
'x,-y,z'
'x+1/2,y+1/2,z'
'-x+1/2,-y+1/2,-z'
'-x+1/2,y+1/2,-z'
'x+1/2,-y+1/2,z'
loop_
_atom_site_label
_atom_site_type_symbol
_atom_site_fract_x
_atom_site_fract_y
_atom_site_fract_z
Sb1 Sb 0.155 0.000 0.141
H1 H 0.021 0.260 0.805
H2 H 0.111 0.393 0.231
H3 H 0.130 0.356 0.832
H4 H 0.149 0.142 0.449
H5 H 0.187 0.242 0.633
H6 H 0.238 0.106 0.867
C1 C 0.016 0.500 0.807
C2 C 0.185 0.000 0.646
N1 N 0.061 0.362 0.818
N2 N 0.076 0.500 0.213
N3 N 0.169 0.138 0.569
N4 N 0.217 0.000 0.806
F1 F 0.101 0.171 0.237
F2 F 0.236 0.500 0.632
F3 F 0.250 0.172 0.136
# Density of states at the Fermi level = 0.0 states/eV/cell
# Theoretical density = 2.066 g/cm³
# Uncorrected energy = -7.54 eV/atom

---

[7]
# ReSiTe2Au | Alexandria | SCAN | single point on PBEsol structure
data_ReSiTe2Au
_cell_length_a 5.190
_cell_length_b 5.190
_cell_length_c 4.564
_cell_angle_alpha 90.00
_cell_angle_beta 90.00
_cell_angle_gamma 90.00
_symmetry_space_group_name_H-M 'P 4/m m m'
_symmetry_Int_Tables_number 123
_symmetry_space_group_name_Hall '-P 4 2'
loop_
_atom_site_label
_atom_site_type_symbol
_atom_site_fract_x
_atom_site_fract_y
_atom_site_fract_z
Re1 Re 0.000 0.000 0.000
Si1 Si 0.000 0.000 0.500
Te1 Te 0.000 0.500 0.000
Au1 Au 0.500 0.500 0.500
# Density of states at the Fermi level = 3.9 states/eV/cell
# Raw formation energy = 0.82 eV per atom
# Theoretical density = 9.002 g/cm³
# Uncorrected energy = -44.14 eV/atom

---

[8]
# LaGdBr2O2 | Alexandria | SCAN | single point on PBEsol structure
data_LaGdBr2O2
_cell_length_a 3.986
_cell_length_b 3.986
_cell_length_c 7.648
_cell_angle_alpha 90.00
_cell_angle_beta 90.00
_cell_angle_gamma 90.00
_symmetry_space_group_name_H-M 'P 4 m m'
_symmetry_Int_Tables_number 99
loop_
_symmetry_equiv_pos_as_xyz
'x,y,z'
'-y,x,z'
'-x,-y,z'
'y,-x,z'
'-x,y,z'
'y,x,z'
'x,-y,z'
'-y,-x,z'
loop_
_atom_site_label
_atom_site_type_symbol
_atom_site_fract_x
_atom_site_fract_y
_atom_site_fract_z
La1 La 0.000 0.000 0.000
Gd1 Gd 0.500 0.500 0.308
Br1 Br 0.000 0.000 0.510
Br2 Br 0.500 0.500 0.801
O1 O 0.000 0.500 0.164
# Density of states at the Fermi level = 0.0 states/eV/cell
# Raw formation energy = -3.21 eV per atom
# Theoretical density = 6.667 g/cm³
# Uncorrected energy = -28.76 eV/atom

---

[9]
# CaNiMo2 | Alexandria | SCAN | single point on PBEsol structure
data_CaNiMo2
_cell_length_a 5.196
_cell_length_b 9.751
_cell_length_c 2.639
_cell_angle_alpha 90.00
_cell_angle_beta 107.18
_cell_angle_gamma 90.00
_symmetry_space_group_name_H-M 'C 1 2/m 1'
_symmetry_Int_Tables_number 12
loop_
_symmetry_equiv_pos_as_xyz
'x,y,z'
'-x,-y,-z'
'-x,y,-z'
'x,-y,z'
'x+1/2,y+1/2,z'
'-x+1/2,-y+1/2,-z'
'-x+1/2,y+1/2,-z'
'x+1/2,-y+1/2,z'
loop_
_atom_site_label
_atom_site_type_symbol
_atom_site_fract_x
_atom_site_fract_y
_atom_site_fract_z
Ca1 Ca 0.000 0.000 0.000
Ni1 Ni 0.000 0.500 0.000
Mo1 Mo 0.250 0.250 0.500
# Energy of formation from the pure elements = 0.67 eV/atom
# Energy above the lowest structure with this stoichiometry = 190 meV/atom
# Density of states at the Fermi level = 8.5 states/eV/cell
# Theoretical density = 7.555 g/cm³
# Uncorrected energy = -23.23 eV/atom

---

[10]
# RhWS2 | Alexandria | SCAN | single point on PBEsol structure
data_RhWS2
_cell_length_a 5.964
_cell_length_b 5.964
_cell_length_c 5.964
_cell_angle_alpha 90.00
_cell_angle_beta 90.00
_cell_angle_gamma 90.00
_symmetry_space_group_name_H-M 'F m -3 m'
_symmetry_Int_Tables_number 225
_symmetry_space_group_name_Hall '-F 4 2 3'
loop_
_atom_site_label
_atom_site_type_symbol
_atom_site_fract_x
_atom_site_fract_y
_atom_site_fract_z
Rh1 Rh 0.000 0.000 0.000
W1 W 0.000 0.000 0.500
S1 S 0.250 0.250 0.250
# Density of states at the Fermi level = 9.4 states/eV/cell
# Raw formation energy = 0.18 eV per atom
# Theoretical density = 10.986 g/cm³
# Uncorrected energy = -30.50 eV/atom

---

[11]
# Ta2TePt | Alexandria | SCAN | single point on PBEsol structure
data_Ta2TePt
_cell_length_a 3.0263
_cell_length_b 3.0263
_cell_length_c 27.2065
_cell_angle_alpha 90.00
_cell_angle_beta 90.00
_cell_angle_gamma 120.00
_symmetry_space_group_name_H-M 'R -3 m'
_symmetry_Int_Tables_number 166
_symmetry_space_group_name_Hall '-R 3 2"'
loop_
_atom_site_label
_atom_site_type_symbol
_atom_site_fract_x
_atom_site_fract_y
_atom_site_fract_z
Ta1 Ta 0.0000 0.0000 0.2473
Te1 Te 0.0000 0.0000 0.0000
Pt1 Pt 0.0000 0.0000 0.5000
# Density of states at the Fermi level = 11.5 states/eV/cell
# Raw formation energy = 0.11 eV per atom
# Theoretical density = 15.804 g/cm³
# Uncorrected energy = -60.05 eV/atom

---

[12]
# BaNb3S | Alexandria | SCAN | single point on PBEsol structure
data_BaNb3S
_cell_length_a 5.027
_cell_length_b 5.027
_cell_length_c 5.027
_cell_angle_alpha 90.00
_cell_angle_beta 90.00
_cell_angle_gamma 90.00
_symmetry_space_group_name_H-M 'P m -3 m'
_symmetry_Int_Tables_number 221
_symmetry_space_group_name_Hall '-P 4 2 3'
loop_
_atom_site_label
_atom_site_type_symbol
_atom_site_fract_x
_atom_site_fract_y
_atom_site_fract_z
Ba1 Ba 0.000 0.000 0.000
Nb1 Nb 0.000 0.000 0.500
S1 S 0.500 0.500 0.500
# Density of states at the Fermi level = 4.9 states/eV/cell
# Raw formation energy = 2.81 eV per atom
# Theoretical density = 5.858 g/cm³
# Uncorrected energy = -26.91 eV/atom